{"formula": "AcMnAgF6", "functional": "PBE with a Hubbard U", "state": "optimized geometry", "volume_a3_per_atom": 18.1, "dft_energy_ev_per_cell": -103.73, "sg": "P4_2nm, No. 102", "lattice_angstrom": [[5.4396, 0.0000, 0.0000], [0.0000, 5.4396, 0.0000], [0.0000, 0.0000, 11.0057]], "species": ["Ac", "Ac", "Mn", "Mn", "Ag", "Ag", "F", "F", "F", "F", "F", "F", "F", "F", "F", "F", "F", "F"], "fractional_positions": [[0.0000, 0.0000, 0.0000], [0.5000, 0.5000, 0.5000], [0.0000, 0.0000, 0.6641], [0.5000, 0.5000, 0.1641], [0.0000, 0.0000, 0.3287], [0.5000, 0.5000, 0.8287], [0.1812, 0.1812, 0.8163], [0.1868, 0.1868, 0.5181], [0.2227, 0.2227, 0.1556], [0.2773, 0.7227, 0.6556], [0.3132, 0.6868, 0.0181], [0.3188, 0.6812, 0.3163], [0.6812, 0.3188, 0.3163], [0.6868, 0.3132, 0.0181], [0.7227, 0.2773, 0.6556], [0.7773, 0.7773, 0.1556], [0.8132, 0.8132, 0.5181], [0.8188, 0.8188, 0.8163]]}